(1)
# Na2LiAl2

A relaxed Na2LiAl2 crystal (PBE-GGA, Alexandria).

Computed properties:
distance to the lowest polymorph of the same formula	0.00	eV/f.u.
crystal system	tetragonal
formation energy from the elements	0.229	eV/atom

Lattice parameters (Å, degrees): 8.925 8.925 3.100 90.00 90.00 90.00
Space group P4/mbm (No. 127)
Asymmetric unit:
Na: 0.189 0.311 0.000 x4
Li: 0.000 0.000 0.500 x2
Al: 0.106 0.606 0.500 x4



(2)
# La2Al5Pd

A relaxed La2Al5Pd crystal (PBE-GGA, Alexandria).

Computed properties:
crystal system	tetragonal
formation energy from the elements	-0.455	eV/atom

Lattice parameters (Å, degrees): 6.268 6.268 9.480 90.00 90.00 90.00
Space group I4mm (No. 107)
Asymmetric unit:
La: 0.000 0.500 0.000 x4
Al: 0.000 0.000 0.464 x2
Al: 0.218 0.218 0.252 x8
Pd: 0.000 0.000 0.726 x2



(3)
# K2ReBr

A relaxed K2ReBr crystal (PBE-GGA, Alexandria).

Computed properties:
distance to the lowest polymorph of the same formula	3.13	eV/f.u.
formation energy without anion corrections	0.61	eV/atom
crystal system	tetragonal

Lattice parameters (Å, degrees): 3.144 3.144 10.193 90.00 90.00 90.00
Space group P4/mmm (No. 123)
Asymmetric unit:
K: 0.000 0.000 0.225 x2
Re: 0.500 0.500 0.500 x1
Br: 0.500 0.500 0.000 x1